VASP calculation (GGA-PBEsol) on a relaxed BaYCd2 crystal.

Its offset from the most stable computed form is 0.00 kJ/mol of atoms. The value obtained for the energy of formation from the pure elements is -1.25 eV/f.u. The density of states at the Fermi level comes out at 0.775 states/eV per atom. As for the total energy: -12.62 eV for the cell shown.

Cell and atoms, written as extended XYZ:
```
4
Lattice="3.8228 0.0000 0.0000 0.0000 3.8228 0.0000 0.0000 0.0000 8.0880" Properties=species:S:1:pos:R:3 pbc="T T T"
Ba 0.0000 0.0000 0.0000
Y 0.0000 0.0000 4.0440
Cd 1.9114 1.9114 2.3948
Cd 1.9114 1.9114 5.6932
```